The following is a DFT calculation (PBE-GGA) of a relaxed structure of B2C.

Summary:
Total magnetization   0.00 μB/cell
DOS at the Fermi energy   0.56 states/eV/f.u.
Offset from the most stable computed form   152 meV/atom
Crystal system   monoclinic

a = 5.689 Å, b = 5.689 Å, c = 6.910 Å
α = 83.92°, β = 83.92°, γ = 28.07°
Fractional coordinates of all 12 atoms:
B: 0.943 0.943 0.927
B: 0.046 0.046 0.516
B: 0.669 0.669 0.176
C: 0.388 0.388 0.264
C: 0.036 0.036 0.735
B: 0.527 0.527 0.334
C: 0.697 0.697 0.933
C: 0.402 0.402 0.024
B: 0.263 0.263 0.952
B: 0.818 0.818 0.276
B: 0.121 0.121 0.306
B: 0.590 0.590 0.805